YTc3Cl: relaxed, GGA-PBEsol.

## Properties
Density of states at the Fermi level in states/eV/cell: 6.06
Space-group type: Pm-3m (221)
E in eV per atom: -7.9434
ρ in kg/m3: 8262

a = 4.381 Å, b = 4.381 Å, c = 4.381 Å
α = 90.00°, β = 90.00°, γ = 90.00°
Element x y z (fractional)
Y1 0.500 0.500 0.500
Tc1 0.000 0.500 0.000
Tc2 0.000 0.000 0.500
Tc3 0.500 0.000 0.000
Cl1 0.000 0.000 0.000